No. 1
DFT (PBE-GGA) results for an optimized crystal structure of ReAsW2.

Cell: 3.1371 3.1371 6.4114 Å, 90.00 90.00 90.00°
With the nearest neighbours (Å) after each atom.
Space group P4mm (No. 99)
Inequivalent atoms, fractional coordinates:
Re: 0.0000 0.0000 0.0000 (multiplicity 1)  4 W 2.65, 4 As 2.84
As: 0.5000 0.5000 0.7222 (multiplicity 1)  4 W 2.62, 4 Re 2.84
W: 0.0000 0.0000 0.5040 (multiplicity 1)  4 As 2.62, 4 W 2.85
W: 0.5000 0.5000 0.2257 (multiplicity 1)  4 Re 2.65, 4 W 2.85

magnetization: 0.00 μB per formula unit
calculated formation energy: 6.3 kcal/mol of atoms


No. 2
DFT (PBE-GGA) results for an optimized crystal structure of Ca2HfZnS5.

Cell: 3.7978 16.5826 12.3922 Å, 90.00 90.00 90.00°
With the nearest neighbours (Å) after each atom.
Space group Cmc2_1 (No. 36)
Inequivalent atoms, fractional coordinates:
Ca: 0.0000 0.0929 0.0000 (multiplicity 4)  6 S 2.82-3.00
Ca: 0.0000 0.1251 0.6527 (multiplicity 4)  7 S 2.86-3.09
Hf: 0.0000 0.2184 0.3667 (multiplicity 4)  6 S 2.49-2.60
Zn: 0.0000 0.4390 0.7799 (multiplicity 4)  4 S 2.27-2.48
S: 0.0000 0.0633 0.3902 (multiplicity 4)  2 Zn 2.34, 1 Hf 2.59
S: 0.0000 0.2737 0.0097 (multiplicity 4)  2 Hf 2.60
S: 0.0000 0.2942 0.7287 (multiplicity 4)  1 Zn 2.48, 2 Hf 2.56
S: 0.0000 0.3671 0.3389 (multiplicity 4)  1 Hf 2.49
S: 0.0000 0.4993 0.6151 (multiplicity 4)  1 Zn 2.27

magnetization: 0.00 μB per formula unit
formation energy from raw total energies: -1393 kJ/mol of formula units


No. 3
DFT (PBE-GGA) results for an optimized crystal structure of Ta2CuSi.

Cell: 9.2131 2.7867 5.1223 Å, 90.00 102.60 90.00°
With the nearest neighbours (Å) after each atom.
Space group C2/m (No. 12)
Inequivalent atoms, fractional coordinates:
Ta: 0.2422 0.0000 0.2497 (multiplicity 4)  3 Si 2.70-2.93, 6 Ta 2.79-2.94, 3 Cu 2.81
Cu: 0.0000 0.0000 0.5000 (multiplicity 2)  2 Cu 2.79, 6 Ta 2.81, 4 Si 2.92
Si: 0.0000 0.5000 0.0000 (multiplicity 2)  6 Ta 2.70-2.93, 2 Si 2.79, 4 Cu 2.92

magnetization: 0.00 μB per formula unit
formation energy from raw total energies: 40 kJ/mol of formula units


No. 4
DFT (PBE-GGA) results for an optimized crystal structure of GdBePt.

Cell: 4.0416 4.0416 3.9679 Å, 90.00 90.00 120.00°
With the nearest neighbours (Å) after each atom.
Space group P-6m2 (No. 187)
Inequivalent atoms, fractional coordinates:
Gd: 0.0000 0.0000 0.0000 (multiplicity 1)  6 Be 3.06, 6 Pt 3.06
Be: 0.3333 0.6667 0.5000 (multiplicity 1)  3 Pt 2.33
Pt: 0.6667 0.3333 0.5000 (multiplicity 1)  3 Be 2.33

magnetization: 7.03 μB per formula unit
calculated formation energy: -19.1 kcal/mol of atoms


No. 5
DFT (PBE-GGA) results for an optimized crystal structure of HoPaS2N.

Cell: 3.8197 3.8197 13.3614 Å, 90.00 90.00 90.00°
With the nearest neighbours (Å) after each atom.
Space group P4/nmm (No. 129, origin choice 2)
Inequivalent atoms, fractional coordinates:
Ho: 0.2500 0.2500 0.1032 (multiplicity 2)  6 S 2.70-2.81
Pa: 0.2500 0.2500 0.5932 (multiplicity 2)  4 N 2.28
S: 0.2500 0.2500 0.3082 (multiplicity 2)  1 Ho 2.74, 4 Pa 3.01
S: 0.2500 0.2500 0.8931 (multiplicity 2)  5 Ho 2.70-2.81
N: 0.2500 0.7500 0.5000 (multiplicity 2)  4 Pa 2.28

magnetization: 0.13 μB per formula unit
formation energy from raw total energies: -937 kJ/mol of formula units


No. 6
DFT (PBE-GGA) results for an optimized crystal structure of V3InTc.

Cell: 4.5637 4.5637 4.5637 Å, 90.00 90.00 90.00°
With the nearest neighbours (Å) after each atom.
Space group Pm-3m (No. 221)
Inequivalent atoms, fractional coordinates:
V: 0.0000 0.0000 0.5000 (multiplicity 3)  2 Tc 2.28
In: 0.5000 0.5000 0.5000 (multiplicity 1)  12 V 3.23
Tc: 0.0000 0.0000 0.0000 (multiplicity 1)  6 V 2.28

magnetization: 0.00 μB per formula unit
calculated formation energy: 20.5 kcal/mol of atoms


No. 7
DFT (PBE-GGA) results for an optimized crystal structure of IrSe4.

Cell: 8.3504 8.3504 3.4046 Å, 90.00 90.00 90.00°
With the nearest neighbours (Å) after each atom.
Space group I4/m (No. 87)
Inequivalent atoms, fractional coordinates:
Ir: 0.0000 0.0000 0.0000 (multiplicity 2)  8 Se 2.61
Se: 0.1082 0.2114 0.5000 (multiplicity 8)  2 Ir 2.61, 2 Se 2.80

magnetization: 0.00 μB per formula unit
formation energy from raw total energies: 99 kJ/mol of formula units


No. 8
DFT (PBE-GGA) results for an optimized crystal structure of BaSbNO2.

Cell: 4.5960 4.5960 4.7145 Å, 90.00 90.00 90.00°
With the nearest neighbours (Å) after each atom.
Space group P4/mmm (No. 123)
Inequivalent atoms, fractional coordinates:
Ba: 0.0000 0.0000 0.0000 (multiplicity 1)  4 O 2.30, 2 N 2.36
Sb: 0.5000 0.5000 0.5000 (multiplicity 1)  4 N 3.25, 8 O 3.29
N: 0.0000 0.0000 0.5000 (multiplicity 1)  2 Ba 2.36
O: 0.0000 0.5000 0.0000 (multiplicity 2)  2 Ba 2.30

magnetization: 0.00 μB per formula unit
formation energy from raw total energies: 330 kJ/mol of formula units


No. 9
DFT (PBE-GGA) results for an optimized crystal structure of KCa2Cu.

Cell: 7.1743 4.2921 11.0889 Å, 90.00 107.38 90.00°
With the nearest neighbours (Å) after each atom.
Space group C2/m (No. 12)
Inequivalent atoms, fractional coordinates:
K: 0.0000 0.0000 0.0000 (multiplicity 2)  6 K 4.18-4.29, 6 Ca 4.34-4.65
Ca: 0.2316 0.0000 0.6506 (multiplicity 4)  3 Cu 2.90-2.92
Cu: 0.0000 0.5000 0.5000 (multiplicity 2)  6 Ca 2.90-2.92

magnetization: 0.00 μB per formula unit
calculated formation energy: 1.1 kcal/mol of atoms


No. 10
DFT (PBE-GGA) results for an optimized crystal structure of NpAg4.

Cell: 5.5683 5.5683 5.5683 Å, 90.00 90.00 90.00°
With the nearest neighbours (Å) after each atom.
Space group Pm-3m (No. 221)
Inequivalent atoms, fractional coordinates:
Np: 0.0000 0.0000 0.0000 (multiplicity 1)  6 Ag 2.78
Ag: 0.0000 0.0000 0.5000 (multiplicity 3)  2 Np 2.78
Ag: 0.5000 0.5000 0.5000 (multiplicity 1)  12 Ag 3.94

magnetization: 4.49 μB per formula unit
calculated formation energy: 34.3 kcal/mol of atoms


No. 11
DFT (PBE-GGA) results for an optimized crystal structure of AlCd2MoH.

Cell: 5.4598 5.4598 3.4802 Å, 90.00 90.00 90.00°
With the nearest neighbours (Å) after each atom.
Space group P4/mmm (No. 123)
Inequivalent atoms, fractional coordinates:
Al: 0.0000 0.0000 0.0000 (multiplicity 1)  8 Cd 3.24, 2 Al 3.48
Cd: 0.0000 0.5000 0.5000 (multiplicity 2)  2 Mo 2.73
Mo: 0.5000 0.5000 0.5000 (multiplicity 1)  2 H 1.74
H: 0.5000 0.5000 0.0000 (multiplicity 1)  2 Mo 1.74

magnetization: 2.26 μB per formula unit


No. 12
DFT (PBE-GGA) results for an optimized crystal structure of Ba2HoThBi4.

Cell: 8.1459 4.7472 8.5778 Å, 90.00 108.76 90.00°
With the nearest neighbours (Å) after each atom.
Space group P2/m (No. 10)
Inequivalent atoms, fractional coordinates:
Ba: 0.0000 0.0000 0.0000 (multiplicity 1)  6 Bi 3.56
Ba: 0.5000 0.5000 0.0000 (multiplicity 1)  6 Bi 3.59-3.60
Ho: 0.0000 0.5000 0.5000 (multiplicity 1)  6 Bi 3.22
Th: 0.5000 0.0000 0.5000 (multiplicity 1)  6 Bi 3.26
Bi: 0.2336 0.0000 0.7136 (multiplicity 2)  2 Ho 3.22, 1 Th 3.26, 3 Ba 3.56-3.60
Bi: 0.2572 0.5000 0.2831 (multiplicity 2)  1 Ho 3.22, 2 Th 3.26, 3 Ba 3.56-3.59

magnetization: 0.00 μB per formula unit
calculated formation energy: -17.9 kcal/mol of atoms


No. 13
DFT (PBE-GGA) results for an optimized crystal structure of Ba2SiP3.

Cell: 6.3883 13.6554 15.5298 Å, 90.00 90.03 90.00°
With the nearest neighbours (Å) after each atom.
Space group C2/c (No. 15)
Inequivalent atoms, fractional coordinates:
Ba: 0.2499 0.1070 0.0634 (multiplicity 8)  7 P 3.21-3.36
Ba: 0.2499 0.1987 0.6543 (multiplicity 8)  5 P 3.23-3.38
Si: 0.2501 0.0061 0.8444 (multiplicity 8)  4 P 2.20-2.37
P: 0.0000 0.0645 0.2500 (multiplicity 4)  2 Si 2.37
P: 0.0000 0.4355 0.7500 (multiplicity 4)  2 Si 2.37
P: 0.2501 0.0968 0.4562 (multiplicity 8)  1 Si 2.23
P: 0.2501 0.1661 0.8618 (multiplicity 8)  1 Si 2.20

magnetization: 0.00 μB per formula unit
formation energy from raw total energies: -436 kJ/mol of formula units


No. 14
DFT (PBE-GGA) results for an optimized crystal structure of Ba2CaRh.

Cell: 3.9476 6.1433 12.9233 Å, 90.00 90.00 90.00°
With the nearest neighbours (Å) after each atom.
Space group Imm2 (No. 44)
Inequivalent atoms, fractional coordinates:
Ba: 0.0000 0.0000 0.0000 (multiplicity 2)  2 Rh 3.08
Ba: 0.0000 0.5000 0.1750 (multiplicity 2)  4 Rh 3.65, 2 Ca 3.74, 4 Ba 3.81-3.95
Ca: 0.0000 0.0000 0.3400 (multiplicity 2)  2 Rh 2.83
Rh: 0.0000 0.5000 0.6830 (multiplicity 2)  2 Ca 2.83, 2 Ba 3.08

magnetization: 0.00 μB per formula unit
calculated formation energy: -1.8 kcal/mol of atoms


No. 15
DFT (PBE-GGA) results for an optimized crystal structure of La5NdRh4.

Cell: 17.8805 4.2712 8.0282 Å, 90.00 106.15 90.00°
With the nearest neighbours (Å) after each atom.
Space group C2/m (No. 12)
Inequivalent atoms, fractional coordinates:
La: 0.0000 0.0000 0.0000 (multiplicity 2)  4 Rh 2.85
La: 0.1644 0.5000 0.3608 (multiplicity 4)  4 Rh 2.81-2.98
La: 0.1651 0.5000 0.8459 (multiplicity 4)  3 Rh 2.82-2.83
Nd: 0.0000 0.0000 0.5000 (multiplicity 2)  6 Rh 3.02-3.04
Rh: 0.9995 0.5000 0.2341 (multiplicity 4)  4 La 2.83-2.85, 2 Nd 3.02
Rh: 0.1768 0.0000 0.6252 (multiplicity 4)  5 La 2.81-2.98, 1 Nd 3.04

magnetization: 0.00 μB per formula unit
calculated formation energy: -14.4 kcal/mol of atoms


No. 16
DFT (PBE-GGA) results for an optimized crystal structure of KInIr2.

Cell: 4.9303 4.9303 18.7919 Å, 90.00 90.00 90.00°
With the nearest neighbours (Å) after each atom.
Space group I4_1/amd (No. 141, origin choice 2)
Inequivalent atoms, fractional coordinates:
K: 0.0000 0.2500 0.3750 (multiplicity 4)  4 In 3.49, 8 Ir 3.62
In: 0.0000 0.2500 0.8750 (multiplicity 4)  4 Ir 2.65
Ir: 0.0000 0.0000 0.0000 (multiplicity 8)  2 Ir 2.47, 2 In 2.65

magnetization: 0.00 μB per formula unit
calculated formation energy: 12.9 kcal/mol of atoms


No. 17
DFT (PBE-GGA) results for an optimized crystal structure of Ba3U2O7.

Cell: 4.3719 27.6633 4.3772 Å, 90.00 90.00 90.00°
With the nearest neighbours (Å) after each atom.
Space group Cmmm (No. 65)
Inequivalent atoms, fractional coordinates:
Ba: 0.0000 0.0000 0.0000 (multiplicity 2)  12 O 3.07-3.09
Ba: 0.0000 0.1659 0.0000 (multiplicity 4)  8 O 3.11-3.27
U: 0.0000 0.4189 0.5000 (multiplicity 4)  6 O 2.07-2.24
O: 0.0000 0.0780 0.5000 (multiplicity 4)  2 U 2.19
O: 0.0000 0.3440 0.5000 (multiplicity 4)  1 U 2.07
O: 0.0000 0.4222 0.0000 (multiplicity 4)  2 U 2.19
O: 0.0000 0.5000 0.5000 (multiplicity 2)  2 U 2.24

magnetization: 2.89 μB per formula unit
formation energy from raw total energies: -3327 kJ/mol of formula units


No. 18
DFT (PBE-GGA) results for an optimized crystal structure of Rb4CaNp3O12.

Cell: 8.7011 8.7011 8.7011 Å, 90.00 90.00 90.00°
With the nearest neighbours (Å) after each atom.
Space group Im-3m (No. 229)
Inequivalent atoms, fractional coordinates:
Rb: 0.2500 0.2500 0.2500 (multiplicity 8)  12 O 3.08
Ca: 0.0000 0.0000 0.0000 (multiplicity 2)  6 O 2.40
Np: 0.0000 0.0000 0.5000 (multiplicity 6)  6 O 1.95-2.18
O: 0.0000 0.0000 0.2761 (multiplicity 12)  1 Np 1.95
O: 0.0000 0.2500 0.5000 (multiplicity 12)  2 Np 2.18

magnetization: 3.00 μB per formula unit
formation energy from raw total energies: -5085 kJ/mol of formula units


No. 19
DFT (PBE-GGA) results for an optimized crystal structure of PrYAl3.

Cell: 3.7635 27.7364 4.5627 Å, 90.00 90.00 90.00°
With the nearest neighbours (Å) after each atom.
Space group Cmcm (No. 63)
Inequivalent atoms, fractional coordinates:
Pr: 0.0000 0.0730 0.2500 (multiplicity 4)  12 Al 3.24-3.37
Y: 0.0000 0.2103 0.7500 (multiplicity 4)  7 Al 3.12-3.22
Al: 0.0000 0.3263 0.7500 (multiplicity 4)  2 Al 2.71
Al: 0.0000 0.3792 0.2500 (multiplicity 4)  3 Al 2.68-2.71
Al: 0.0000 0.4757 0.2500 (multiplicity 4)  3 Al 2.65-2.68

magnetization: 0.36 μB per formula unit
calculated formation energy: -10.4 kcal/mol of atoms


| no. | energy (eV for the cell shown) |
| --- | --- |
| 1 | -41.92 |
| 2 | -201.20 |
| 3 | -65.62 |
| 4 | -26.33 |
| 5 | -80.73 |
| 6 | -36.01 |
| 7 | -43.56 |
| 8 | -20.87 |
| 9 | -18.00 |
| 10 | -16.90 |
| 11 | -15.60 |
| 12 | -37.59 |
| 13 | -240.09 |
| 14 | -27.04 |
| 15 | -130.08 |
| 16 | -77.29 |
| 17 | -195.06 |
| 18 | -313.80 |
| 19 | -98.86 |